Model P:
First-principles (GGA-PBE) data for an optimized crystal structure of TiTc3Ru, as listed in the Alexandria database.

a b c (Å): 4.600 4.600 4.600
angles (deg): 90.00 90.00 90.00
Fractional positions:
Ru  0.000  0.000  0.000
Tc  0.000  0.500  0.000
Tc  0.000  0.000  0.500
Tc  0.500  0.000  0.000
Ti  0.500  0.500  0.500



Model Q:
First-principles (GGA-PBE) data for an optimized crystal structure of TiTc3Ru, as listed in the Alexandria database.

a b c (Å): 4.428 4.428 4.428
angles (deg): 90.00 90.00 90.00
Site moments in Bohr magnetons follow the coordinates.
Fractional positions:
Ru  0.500  0.500  0.500  1.43
Tc  0.000  0.500  0.000  0.01
Tc  0.000  0.000  0.500  0.06
Tc  0.500  0.000  0.000  0.12
Ti  0.000  0.000  0.000  0.04



Referenced to the most stable arrangement, the calculated values in kJ/mol of atoms are model P 0.0; model Q 3.5.